1.
Computed, not measured: a geometry-optimized Ti6CoPt2 structure at the PBE level of DFT.

For the spin magnetization, the calculation gives 0.00 μB per cell. The value obtained for the calculated total energy is -7.70 eV per atom.

Cell lengths 7.324, 7.324, 7.324 Å; angles 146.15, 131.43, 60.51 degrees
Fractional coordinates of all 9 atoms:
1 Ti 0.083 0.340 0.742
2 Ti 0.236 0.000 0.236
3 Ti 0.402 0.660 0.742
4 Ti 0.598 0.340 0.258
5 Ti 0.764 0.000 0.764
6 Ti 0.917 0.660 0.258
7 Co 0.000 0.500 0.500
8 Pt 0.333 0.833 0.500
9 Pt 0.667 0.167 0.500

=====

2.
Computed, not measured: a geometry-optimized Li2ZnGa structure at the PBE level of DFT.

For the spin magnetization, the calculation gives 0.00 μB per cell. The value obtained for the calculated total energy is -2.17 eV per atom.

Cell lengths 9.081, 9.081, 9.081 Å; angles 18.29, 18.29, 18.29 degrees
Fractional coordinates of all 4 atoms:
1 Li 0.000 0.000 0.000
2 Li 0.168 0.168 0.168
3 Zn 0.584 0.584 0.584
4 Ga 0.417 0.417 0.417

=====

3.
Computed, not measured: a geometry-optimized TeAuI3 structure at the PBE level of DFT.

The calculation puts the offset from the most stable computed form at 0.058 eV/atom. For the spin magnetization, the calculation gives 0.00 μB per cell. The uncorrected formation energy is 0.01 eV/atom. The value obtained for the calculated total energy is -2.21 eV per atom.

Cell lengths 4.255, 9.238, 12.218 Å; angles 101.99, 99.63, 93.68 degrees
Fractional coordinates of all 10 atoms:
1 Te 0.000 0.000 0.000
2 Te 0.426 0.877 0.840
3 Au 0.633 0.876 0.275
4 Au 0.795 0.002 0.566
5 I 0.081 0.289 0.930
6 I 0.116 0.703 0.292
7 I 0.311 0.175 0.548
8 I 0.344 0.587 0.910
9 I 0.638 0.139 0.218
10 I 0.788 0.739 0.622

=====

4.
Computed, not measured: a geometry-optimized LaNdHgTe structure at the PBE level of DFT.

For the spin magnetization, the calculation gives 0.00 μB per cell. The uncorrected formation energy is -0.94 eV/atom. The value obtained for the calculated total energy is -4.22 eV per atom.

Cell lengths 4.513, 4.513, 6.460 Å; angles 90.00, 90.00, 90.00 degrees
Fractional coordinates of all 4 atoms:
1 La 0.000 0.000 0.000
2 Nd 0.500 0.500 0.500
3 Hg 0.500 0.500 0.000
4 Te 0.000 0.000 0.500

=====

5.
Computed, not measured: a geometry-optimized Ca2SiC structure at the PBE level of DFT.

The calculation puts the offset from the most stable computed form at 0.054 eV/atom. For the spin magnetization, the calculation gives 1.57 μB per cell. The uncorrected formation energy is 0.69 eV/atom. The value obtained for the calculated total energy is -3.98 eV per atom.

Cell lengths 6.124, 6.124, 6.124 Å; angles 104.97, 104.97, 118.90 degrees
Fractional coordinates of all 8 atoms:
1 Ca 0.059 0.125 0.434
2 Ca 0.375 0.941 0.066
3 Ca 0.691 0.625 0.566
4 Ca 0.875 0.309 0.934
5 Si 0.250 0.750 0.500
6 Si 0.500 0.500 0.000
7 C 0.000 0.000 0.000
8 C 0.750 0.250 0.500

=====

6.
Computed, not measured: a geometry-optimized NaSr2Tc structure at the PBE level of DFT.

The calculation puts the offset from the most stable computed form at 0.236 eV/atom. For the spin magnetization, the calculation gives 4.08 μB per cell. The value obtained for the calculated total energy is -2.85 eV per atom.

Cell lengths 7.193, 7.193, 7.193 Å; angles 104.62, 104.62, 119.69 degrees
Fractional coordinates of all 8 atoms:
1 Na 0.000 0.000 0.000
2 Na 0.750 0.250 0.500
3 Sr 0.164 0.125 0.539
4 Sr 0.375 0.836 0.961
5 Sr 0.586 0.625 0.461
6 Sr 0.875 0.414 0.039
7 Tc 0.250 0.750 0.500
8 Tc 0.500 0.500 0.000

=====

7.
Computed, not measured: a geometry-optimized SrW2Br structure at the PBE level of DFT.

The calculation puts the offset from the most stable computed form at 1.224 eV/atom. For the spin magnetization, the calculation gives 0.00 μB per cell. The uncorrected formation energy is 1.46 eV/atom. The value obtained for the calculated total energy is -5.86 eV per atom.

Cell lengths 2.947, 2.947, 9.990 Å; angles 90.00, 90.00, 108.28 degrees
Fractional coordinates of all 4 atoms:
1 Sr 0.000 0.000 0.000
2 W 0.500 0.500 0.278
3 W 0.500 0.500 0.722
4 Br 0.000 0.000 0.500

=====

8.
Computed, not measured: a geometry-optimized RbCd2AgRh structure at the PBE level of DFT.

For the spin magnetization, the calculation gives 0.00 μB per cell. The value obtained for the calculated total energy is -2.51 eV per atom.

Cell lengths 5.243, 5.243, 5.363 Å; angles 90.00, 90.00, 90.00 degrees
Fractional coordinates of all 5 atoms:
1 Rb 0.000 0.000 0.000
2 Cd 0.000 0.500 0.500
3 Cd 0.500 0.000 0.500
4 Ag 0.500 0.500 0.000
5 Rh 0.500 0.500 0.500

=====

9.
Computed, not measured: a geometry-optimized MgZnNi14 structure at the PBE level of DFT.

For the spin magnetization, the calculation gives 7.16 μB per cell. The value obtained for the calculated total energy is -5.26 eV per atom.

Cell lengths 8.234, 5.026, 5.026 Å; angles 60.51, 90.00, 90.00 degrees
Fractional coordinates of all 16 atoms:
1 Mg 0.000 0.000 0.000
2 Zn 0.000 0.501 0.501
3 Ni 0.000 0.500 0.998
4 Ni 0.000 0.998 0.500
5 Ni 0.250 0.329 0.329
6 Ni 0.255 0.828 0.828
7 Ni 0.257 0.334 0.830
8 Ni 0.257 0.830 0.334
9 Ni 0.500 0.163 0.163
10 Ni 0.500 0.163 0.662
11 Ni 0.500 0.662 0.163
12 Ni 0.500 0.663 0.663
13 Ni 0.743 0.334 0.830
14 Ni 0.743 0.830 0.334
15 Ni 0.745 0.828 0.828
16 Ni 0.750 0.329 0.329

=====

10.
Computed, not measured: a geometry-optimized Sr2YRu structure at the PBE level of DFT.

The calculation puts the offset from the most stable computed form at 0.087 eV/atom. For the spin magnetization, the calculation gives 0.00 μB per cell. The value obtained for the calculated total energy is -4.63 eV per atom.

Cell lengths 6.863, 6.863, 6.863 Å; angles 147.95, 127.92, 62.48 degrees
Fractional coordinates of all 4 atoms:
1 Sr 0.000 0.000 0.000
2 Sr 0.684 0.184 0.500
3 Y 0.321 0.821 0.500
4 Ru 0.476 0.476 0.000

=====

11.
Computed, not measured: a geometry-optimized CsPmCdO3 structure at the PBE level of DFT.

For the spin magnetization, the calculation gives 0.00 μB per cell. The uncorrected formation energy is -2.00 eV/atom. The value obtained for the calculated total energy is -5.56 eV per atom.

Cell lengths 7.377, 3.746, 10.037 Å; angles 90.00, 109.72, 90.00 degrees
Fractional coordinates of all 12 atoms:
1 Cs 0.154 0.250 0.194
2 Cs 0.846 0.750 0.806
3 Pm 0.373 0.250 0.847
4 Pm 0.627 0.750 0.153
5 Cd 0.175 0.750 0.555
6 Cd 0.825 0.250 0.445
7 O 0.049 0.250 0.649
8 O 0.324 0.750 0.984
9 O 0.440 0.750 0.722
10 O 0.560 0.250 0.278
11 O 0.676 0.250 0.016
12 O 0.951 0.750 0.351

=====

12.
Computed, not measured: a geometry-optimized CdI3F structure at the PBE level of DFT.

For the spin magnetization, the calculation gives 0.00 μB per cell. The uncorrected formation energy is 0.11 eV/atom. The value obtained for the calculated total energy is -1.38 eV per atom.

Cell lengths 5.365, 5.365, 5.365 Å; angles 90.00, 90.00, 90.00 degrees
Fractional coordinates of all 5 atoms:
1 Cd 0.000 0.000 0.000
2 I 0.000 0.500 0.500
3 I 0.500 0.000 0.500
4 I 0.500 0.500 0.000
5 F 0.500 0.500 0.500

=====

13.
Computed, not measured: a geometry-optimized DyEr3Cd2 structure at the PBE level of DFT.

For the spin magnetization, the calculation gives 0.00 μB per cell. The value obtained for the calculated total energy is -3.55 eV per atom.

Cell lengths 3.584, 3.584, 12.894 Å; angles 90.00, 90.00, 90.00 degrees
Fractional coordinates of all 6 atoms:
1 Dy 0.000 0.000 0.000
2 Er 0.500 0.500 0.191
3 Er 0.500 0.500 0.500
4 Er 0.500 0.500 0.809
5 Cd 0.000 0.000 0.348
6 Cd 0.000 0.000 0.652

=====

14.
Computed, not measured: a geometry-optimized CoNiPtRh structure at the PBE level of DFT.

The calculation puts the offset from the most stable computed form at 0.102 eV/atom. For the spin magnetization, the calculation gives 4.31 μB per cell. The value obtained for the calculated total energy is -6.50 eV per atom.

Cell lengths 4.226, 4.226, 4.226 Å; angles 60.00, 60.00, 60.00 degrees
Fractional coordinates of all 4 atoms:
1 Co 0.000 0.000 0.000
2 Ni 0.500 0.500 0.500
3 Pt 0.250 0.250 0.250
4 Rh 0.750 0.750 0.750

=====

15.
Computed, not measured: a geometry-optimized AlPC structure at the PBE level of DFT.

The calculation puts the offset from the most stable computed form at 0.178 eV/atom. For the spin magnetization, the calculation gives 0.00 μB per cell. The value obtained for the calculated total energy is -5.96 eV per atom.

Cell lengths 5.803, 5.803, 4.771 Å; angles 90.93, 90.93, 30.38 degrees
Fractional coordinates of all 6 atoms:
1 Al 0.130 0.130 0.229
2 Al 0.870 0.870 0.771
3 P 0.345 0.345 0.204
4 P 0.655 0.655 0.796
5 C 0.435 0.435 0.521
6 C 0.565 0.565 0.479

=====

16.
Computed, not measured: a geometry-optimized CaIn5Pt3 structure at the PBE level of DFT.

For the spin magnetization, the calculation gives 0.00 μB per cell. The value obtained for the calculated total energy is -4.19 eV per atom.

Cell lengths 7.439, 7.439, 14.126 Å; angles 90.00, 90.00, 146.90 degrees
Fractional coordinates of all 18 atoms:
1 Ca 0.184 0.816 0.750
2 Ca 0.816 0.184 0.250
3 In 0.000 0.000 0.000
4 In 0.000 0.000 0.500
5 In 0.204 0.796 0.067
6 In 0.204 0.796 0.433
7 In 0.447 0.553 0.651
8 In 0.447 0.553 0.849
9 In 0.553 0.447 0.151
10 In 0.553 0.447 0.349
11 In 0.796 0.204 0.567
12 In 0.796 0.204 0.933
13 Pt 0.143 0.857 0.250
14 Pt 0.388 0.612 0.045
15 Pt 0.388 0.612 0.455
16 Pt 0.612 0.388 0.545
17 Pt 0.612 0.388 0.955
18 Pt 0.857 0.143 0.750

=====

17.
Computed, not measured: a geometry-optimized ScPS2Br structure at the PBE level of DFT.

The calculation puts the offset from the most stable computed form at 0.541 eV/atom. For the spin magnetization, the calculation gives 0.00 μB per cell. The uncorrected formation energy is 0.60 eV/atom. The value obtained for the calculated total energy is -3.74 eV per atom.

Cell lengths 4.729, 4.729, 4.908 Å; angles 90.00, 90.00, 90.00 degrees
Fractional coordinates of all 5 atoms:
1 Sc 0.000 0.000 0.000
2 P 0.500 0.500 0.000
3 S 0.000 0.500 0.500
4 S 0.500 0.000 0.500
5 Br 0.500 0.500 0.500

=====

18.
Computed, not measured: a geometry-optimized U2Pt9Au structure at the PBE level of DFT.

For the spin magnetization, the calculation gives 2.05 μB per cell. The value obtained for the calculated total energy is -7.21 eV per atom.

Cell lengths 4.136, 4.136, 12.159 Å; angles 90.00, 90.00, 90.00 degrees
Fractional coordinates of all 12 atoms:
1 U 0.000 0.000 0.175
2 U 0.000 0.000 0.825
3 Pt 0.000 0.500 0.000
4 Pt 0.000 0.500 0.332
5 Pt 0.000 0.500 0.668
6 Pt 0.500 0.000 0.000
7 Pt 0.500 0.000 0.332
8 Pt 0.500 0.000 0.668
9 Pt 0.500 0.500 0.167
10 Pt 0.500 0.500 0.500
11 Pt 0.500 0.500 0.833
12 Au 0.000 0.000 0.500

=====

19.
Computed, not measured: a geometry-optimized K3UBr8 structure at the PBE level of DFT.

For the spin magnetization, the calculation gives 0.96 μB per cell. The uncorrected formation energy is -1.38 eV/atom. The value obtained for the calculated total energy is -3.71 eV per atom.

Cell lengths 7.556, 7.556, 7.556 Å; angles 90.00, 90.00, 90.00 degrees
Fractional coordinates of all 12 atoms:
1 K 0.000 0.000 0.500
2 K 0.000 0.500 0.000
3 K 0.500 0.000 0.000
4 U 0.500 0.500 0.500
5 Br 0.277 0.277 0.277
6 Br 0.277 0.277 0.723
7 Br 0.277 0.723 0.277
8 Br 0.277 0.723 0.723
9 Br 0.723 0.277 0.277
10 Br 0.723 0.277 0.723
11 Br 0.723 0.723 0.277
12 Br 0.723 0.723 0.723

=====

20.
Computed, not measured: a geometry-optimized Nd5ZnAu4 structure at the PBE level of DFT.

For the spin magnetization, the calculation gives 0.00 μB per cell. The value obtained for the calculated total energy is -4.50 eV per atom.

Cell lengths 3.712, 3.712, 18.549 Å; angles 90.00, 90.00, 90.00 degrees
Fractional coordinates of all 10 atoms:
1 Nd 0.000 0.000 0.000
2 Nd 0.000 0.000 0.201
3 Nd 0.000 0.000 0.402
4 Nd 0.000 0.000 0.598
5 Nd 0.000 0.000 0.799
6 Zn 0.500 0.500 0.500
7 Au 0.500 0.500 0.100
8 Au 0.500 0.500 0.303
9 Au 0.500 0.500 0.697
10 Au 0.500 0.500 0.900

=====

21.
Computed, not measured: a geometry-optimized Tl2Hg2Se3 structure at the PBE level of DFT.

The calculation puts the offset from the most stable computed form at 0.000 eV/atom. For the spin magnetization, the calculation gives 0.00 μB per cell. The uncorrected formation energy is -0.26 eV/atom. The value obtained for the calculated total energy is -2.51 eV per atom.

Cell lengths 11.449, 11.449, 7.606 Å; angles 109.28, 109.28, 84.97 degrees
Fractional coordinates of all 28 atoms:
1 Tl 0.077 0.923 0.750
2 Tl 0.211 0.789 0.250
3 Tl 0.312 0.490 0.919
4 Tl 0.490 0.312 0.419
5 Tl 0.510 0.688 0.581
6 Tl 0.688 0.510 0.081
7 Tl 0.789 0.211 0.750
8 Tl 0.923 0.077 0.250
9 Hg 0.043 0.594 0.385
10 Hg 0.145 0.293 0.131
11 Hg 0.293 0.145 0.631
12 Hg 0.406 0.957 0.115
13 Hg 0.594 0.043 0.885
14 Hg 0.707 0.855 0.369
15 Hg 0.855 0.707 0.869
16 Hg 0.957 0.406 0.615
17 Se 0.075 0.643 0.781
18 Se 0.082 0.217 0.727
19 Se 0.217 0.082 0.227
20 Se 0.261 0.515 0.322
21 Se 0.357 0.925 0.719
22 Se 0.485 0.739 0.178
23 Se 0.515 0.261 0.822
24 Se 0.643 0.075 0.281
25 Se 0.739 0.485 0.678
26 Se 0.783 0.918 0.773
27 Se 0.918 0.783 0.273
28 Se 0.925 0.357 0.219

=====

22.
Computed, not measured: a geometry-optimized NdEr2PaP4 structure at the PBE level of DFT.

For the spin magnetization, the calculation gives 0.00 μB per cell. The value obtained for the calculated total energy is -7.14 eV per atom.

Cell lengths 6.912, 4.018, 6.967 Å; angles 90.00, 109.49, 90.00 degrees
Fractional coordinates of all 8 atoms:
1 Nd 0.000 0.000 0.000
2 Er 0.500 0.000 0.500
3 Er 0.500 0.500 0.000
4 Pa 0.000 0.500 0.500
5 P 0.252 0.000 0.744
6 P 0.255 0.500 0.262
7 P 0.745 0.500 0.738
8 P 0.748 0.000 0.256

=====

23.
Computed, not measured: a geometry-optimized BaAgHg3 structure at the PBE level of DFT.

The calculation puts the offset from the most stable computed form at 0.111 eV/atom. For the spin magnetization, the calculation gives 0.00 μB per cell. The value obtained for the calculated total energy is -1.32 eV per atom.

Cell lengths 5.424, 5.424, 5.424 Å; angles 90.00, 90.00, 90.00 degrees
Fractional coordinates of all 5 atoms:
1 Ba 0.000 0.000 0.000
2 Ag 0.500 0.500 0.500
3 Hg 0.000 0.500 0.500
4 Hg 0.500 0.000 0.500
5 Hg 0.500 0.500 0.000